one:
# Ag3PdN

A relaxed Ag3PdN crystal (PBE-GGA, the Alexandria database).

N(E_F): 0.13 states/eV/atom

Structure (POSCAR):
```
Ag3PdN
1.0
-2.547 -0.547 -3.425
-2.877 -2.040 2.466
-1.938 3.750 0.842
Ag N Pd
3 1 1
Direct
0.500 0.000 0.000
0.000 0.000 0.500
0.000 0.500 0.000
0.000 0.000 0.000
0.500 0.500 0.500
```

=====

two:
# Ag3PdN

A relaxed Ag3PdN crystal (PBE-GGA, the Alexandria database).

N(E_F): 0.35 states/eV/atom

Structure (POSCAR):
```
Ag3PdN
1.0
-1.584 4.734 1.303
-1.446 0.859 -4.877
-4.692 -1.863 1.063
Ag N Pd
3 1 1
Direct
0.500 0.000 0.000
0.000 0.000 0.500
0.000 0.500 0.000
0.500 0.500 0.500
0.000 0.000 0.000
```

=====

Winner for stability: one